Entry from Alexandria: a relaxed TbGa9Pd2 crystal (GGA-PBE).

a = 11.544 Å, b = 11.544 Å, c = 6.537 Å
α = 90.00°, β = 90.00°, γ = 90.00°
Space group I4_1/amd (No. 141, origin choice 2)
One atom of each set of equivalent atoms:
Tb 0.000 0.250 0.375 (multiplicity 4)
Ga 0.000 0.250 0.875 (multiplicity 4)
Ga 0.119 0.064 0.667 (multiplicity 32)
Pd 0.000 0.000 0.000 (multiplicity 8)

Values from the calculation:
Calculated formation energy in eV/atom: -0.32



Entry from Alexandria: a relaxed Ce2NdHfN4 crystal (GGA-PBE).

a = 6.051 Å, b = 3.459 Å, c = 6.081 Å
α = 90.00°, β = 109.07°, γ = 90.00°
Space group P2/m (No. 10)
One atom of each set of equivalent atoms:
Ce 0.000 0.000 0.000 (multiplicity 1)
Ce 0.000 0.500 0.500 (multiplicity 1)
Nd 0.500 0.000 0.500 (multiplicity 1)
Hf 0.500 0.500 0.000 (multiplicity 1)
N 0.258 0.500 0.223 (multiplicity 2)
N 0.272 0.000 0.780 (multiplicity 2)

Values from the calculation:
Formation energy from raw total energies in eV/atom: -1.5267



| no. | D(E_F) (states/eV/f.u.) |
| --- | --- |
| 1 | 3.8 |
| 2 | 5.3 |